# 1
Here is a relaxed LiTlFeMo crystal from OQMD. Energies are from PBE.

- excess energy over the best structure of this formula in the dataset (eV/atom) = 0.000
- electronic total energy (eV per atom) = -5.520

Cell lengths 4.3298, 4.3298, 4.3298 Å; angles 60.00, 60.00, 60.00 degrees
Fractional positions:
Fe1 0.2500 0.2500 0.2500
Li1 0.7500 0.7500 0.7500
Mo1 0.0000 0.0000 0.0000
Tl1 0.5000 0.5000 0.5000

=====

# 2
Here is a relaxed AsAu15 crystal from OQMD. Energies are from PBE.

- excess energy over the best structure of this formula in the dataset (eV/atom) = 0.024
- electronic total energy (eV per atom) = -3.273

Cell lengths 5.7995, 4.1068, 33.3809 Å; angles 90.00, 90.18, 90.00 degrees
Fractional positions:
As1 0.6236 0.2500 0.1718
As2 0.3764 0.7500 0.8282
Au1 0.1362 0.2500 0.1673
Au2 0.8725 0.7500 0.2020
Au3 0.3748 0.7500 0.2076
Au4 0.6279 0.2500 0.2539
Au5 0.1235 0.2500 0.2549
Au6 0.8763 0.7500 0.2985
Au7 0.3738 0.7500 0.2990
Au8 0.6256 0.2500 0.3426
Au9 0.1245 0.2500 0.3443
Au10 0.3758 0.7500 0.3885
Au11 0.8741 0.7500 0.3887
Au12 0.6248 0.2500 0.4328
Au13 0.1250 0.2500 0.4329
Au14 0.8748 0.7500 0.4778
Au15 0.3750 0.7500 0.4779
Au16 0.6250 0.2500 0.5221
Au17 0.1252 0.2500 0.5222
Au18 0.8750 0.7500 0.5671
Au19 0.3752 0.7500 0.5672
Au20 0.1259 0.2500 0.6113
Au21 0.6242 0.2500 0.6115
Au22 0.8755 0.7500 0.6557
Au23 0.3744 0.7500 0.6574
Au24 0.6262 0.2500 0.7010
Au25 0.1237 0.2500 0.7015
Au26 0.8765 0.7500 0.7451
Au27 0.3721 0.7500 0.7461
Au28 0.6252 0.2500 0.7924
Au29 0.1275 0.2500 0.7980
Au30 0.8638 0.7500 0.8327

=====

# 3
Here is a relaxed TaZnCdCu crystal from OQMD. Energies are from PBE.

- excess energy over the best structure of this formula in the dataset (eV/atom) = 0.000
- electronic total energy (eV per atom) = -4.012
- DFT formation energy (eV per formula unit) = 1.7

Cell lengths 4.5164, 4.5164, 4.5164 Å; angles 60.00, 60.00, 60.00 degrees
Fractional positions:
Cd1 0.2500 0.2500 0.2500
Cu1 0.7500 0.7500 0.7500
Ta1 0.5000 0.5000 0.5000
Zn1 0.0000 0.0000 0.0000

=====

# 4
Here is a relaxed Y3MgAl2AgAu2 crystal from OQMD. Energies are from PBE.

- electronic total energy (eV per atom) = -4.839

Cell lengths 3.9829, 7.5191, 7.5191 Å; angles 119.29, 90.00, 90.00 degrees
Fractional positions:
Ag1 0.5000 0.9916 0.9916
Al1 0.0000 0.7500 0.0011
Al2 0.0000 0.0011 0.7500
Au1 0.0000 0.6697 0.3331
Au2 0.0000 0.3331 0.6697
Mg1 0.0000 0.2487 0.2487
Y1 0.5000 0.9987 0.4151
Y2 0.5000 0.5921 0.5921
Y3 0.5000 0.4151 0.9987

=====

# 5
Here is a relaxed DyHoNi2 crystal from OQMD. Energies are from PBE.

- electronic total energy (eV per atom) = -5.547
- DFT formation energy (eV per formula unit) = -1.9

Cell lengths 4.1635, 5.3996, 7.0238 Å; angles 90.00, 90.00, 90.00 degrees
Fractional positions:
Dy1 0.0000 0.6199 0.1797
Dy2 0.0000 0.3801 0.6797
Ho1 0.5000 0.1198 0.3202
Ho2 0.5000 0.8802 0.8202
Ni1 0.0000 0.1253 0.0380
Ni2 0.5000 0.6254 0.4621
Ni3 0.0000 0.8747 0.5380
Ni4 0.5000 0.3746 0.9621

=====

# 6
Here is a relaxed Li2Al2ZnCdPd2 crystal from OQMD. Energies are from PBE.

- electronic total energy (eV per atom) = -3.486

Cell lengths 4.3853, 4.3853, 6.2517 Å; angles 90.00, 90.00, 90.00 degrees
Fractional positions:
Al1 0.5000 0.5000 0.0000
Al2 0.0000 0.0000 0.5000
Cd1 0.0000 0.0000 0.0000
Li1 0.5000 0.0000 0.2610
Li2 0.0000 0.5000 0.7390
Pd1 0.0000 0.5000 0.2683
Pd2 0.5000 0.0000 0.7317
Zn1 0.5000 0.5000 0.5000

=====

# 7
Here is a relaxed AcIn2Ag2 crystal from OQMD. Energies are from PBE.

- electronic total energy (eV per atom) = -3.370

Cell lengths 6.9224, 6.9224, 6.9224 Å; angles 141.52, 141.52, 55.55 degrees
Fractional positions:
Ac1 0.0000 0.0000 0.0000
Ag1 0.3897 0.3897 0.0000
Ag2 0.6103 0.6103 0.0000
In1 0.7500 0.2500 0.5000
In2 0.2500 0.7500 0.5000

=====

# 8
Here is a relaxed BaPrO3 crystal from OQMD. Energies are from PBE.

- electronic total energy (eV per atom) = -6.840

Cell lengths 6.3605, 6.3605, 6.6493 Å; angles 61.43, 61.43, 60.00 degrees
Each line ends with the local moment (μB).
Fractional positions:
Ba1 0.8690 0.8690 0.3929  0.01
Ba2 0.1310 0.1310 0.6071  0.01
O1 0.5173 0.2926 0.2312  0.28
O2 0.9590 0.5173 0.2312  0.27
O3 0.2926 0.9590 0.2312  0.28
O4 0.7074 0.0410 0.7688  0.28
O5 0.0410 0.4827 0.7688  0.27
O6 0.4827 0.7074 0.7688  0.28
Pr1 0.6458 0.6458 0.0626  -0.01
Pr2 0.3542 0.3542 0.9374  -0.01